First-principles (PBE-GGA) data for crystalline Sr2CdCu3Sn4 at its relaxed geometry, as listed in Alexandria via LeMat-Bulk.

Its formation energy is -31.7 kJ/mol of atoms. The calculation puts the spin magnetization at 0.000 μB/f.u. The crystal system is tetragonal. The calculated density comes out at 6.6 g cm⁻³.

The space group is P-4m2 (No. 115) and the conventional cell measures 4.599, 4.599 and 11.356 Å, with angles of 90.00, 90.00 and 90.00 degrees. The asymmetric unit holds Sr at (0.000, 0.500, 0.248), Cd at (0.000, 0.000, 0.500), Cu at (0.000, 0.500, 0.872), Cu at (0.500, 0.500, 0.500), Sn at (0.000, 0.000, 0.000), Sn at (0.000, 0.500, 0.644) and Sn at (0.500, 0.500, 0.000).

First-principles (PBE-GGA) data for crystalline ReTc4As at its relaxed geometry, as listed in Alexandria via LeMat-Bulk.

Its formation energy is 60.6 kJ/mol of atoms. The calculation puts the spin magnetization at 0.000 μB/f.u. The crystal system is cubic. The calculated density comes out at 11.5 g cm⁻³.

The space group is F-43m (No. 216) and the conventional cell measures 7.223, 7.223 and 7.223 Å, with angles of 90.00, 90.00 and 90.00 degrees. The asymmetric unit holds Re at (0.000, 0.000, 0.000), Tc at (0.124, 0.124, 0.376) and As at (0.250, 0.250, 0.750).

First-principles (PBE-GGA) data for crystalline LiPrNdPb at its relaxed geometry, as listed in Alexandria via LeMat-Bulk.

Its formation energy is -31.7 kJ/mol of atoms. The calculation puts the spin magnetization at 0.000 μB/f.u. The crystal system is cubic. The calculated density comes out at 7.2 g cm⁻³.

The space group is F-43m (No. 216) and the conventional cell measures 7.740, 7.740 and 7.740 Å, with angles of 90.00, 90.00 and 90.00 degrees. The asymmetric unit holds Li at (0.000, 0.000, 0.000), Pr at (0.250, 0.250, 0.250), Nd at (0.250, 0.250, 0.750) and Pb at (0.000, 0.000, 0.500).

First-principles (PBE-GGA) data for crystalline CeDyHgOs at its relaxed geometry, as listed in Alexandria via LeMat-Bulk.

Its formation energy is -18.0 kJ/mol of atoms. The calculation puts the spin magnetization at 0.203 μB/f.u. The crystal system is cubic. The calculated density comes out at 12.5 g cm⁻³. The energy above the most stable polymorph in this dataset comes out at 146 meV/atom.

The space group is F-43m (No. 216) and the conventional cell measures 7.175, 7.175 and 7.175 Å, with angles of 90.00, 90.00 and 90.00 degrees. The asymmetric unit holds Ce at (0.000, 0.000, 0.000), Dy at (0.000, 0.000, 0.500), Hg at (0.250, 0.250, 0.250) and Os at (0.250, 0.250, 0.750).

First-principles (PBE-GGA) data for crystalline KScAl2 at its relaxed geometry, as listed in Alexandria via LeMat-Bulk.

Its formation energy is 18.7 kJ/mol of atoms. The calculation puts the spin magnetization at 0.326 μB/f.u. The crystal system is monoclinic. The calculated density comes out at 2.3 g cm⁻³. The energy above the most stable polymorph in this dataset comes out at 215 meV/atom.

The space group is Cm (No. 8) and the conventional cell measures 11.797, 2.960 and 5.873 Å, with angles of 90.00, 106.31 and 90.00 degrees. The asymmetric unit holds K at (0.000, 0.000, 0.000), Sc at (0.310, 0.500, 0.379), Al at (0.046, 0.500, 0.523) and Al at (0.235, 0.000, 0.792).

First-principles (PBE-GGA) data for crystalline HfPaZn at its relaxed geometry, as listed in Alexandria via LeMat-Bulk.

Its formation energy is 13.6 kJ/mol of atoms. The calculation puts the spin magnetization at 0.000 μB/f.u. The crystal system is trigonal. The calculated density comes out at 12.1 g cm⁻³. The energy above the most stable polymorph in this dataset comes out at 176 meV/atom.

The space group is P3m1 (No. 156) and the conventional cell measures 4.9299, 4.9299 and 3.1069 Å, with angles of 90.00, 90.00 and 120.00 degrees. The asymmetric unit holds Hf at (0.0000, 0.0000, 0.0000), Pa at (0.3333, 0.6667, 0.5009) and Zn at (0.6667, 0.3333, 0.0034).

First-principles (PBE-GGA) data for crystalline SmCd2Ga2Au2 at its relaxed geometry, as listed in Alexandria via LeMat-Bulk.

Its formation energy is -41.1 kJ/mol of atoms. The calculation puts the spin magnetization at 0.000 μB/f.u. The crystal system is trigonal. The calculated density comes out at 10.1 g cm⁻³.

The space group is R-3m (No. 166, hexagonal axes) and the conventional cell measures 4.5264, 4.5264 and 25.3758 Å, with angles of 90.00, 90.00 and 120.00 degrees. The asymmetric unit holds Sm at (0.0000, 0.0000, 0.0000), Cd at (0.0000, 0.0000, 0.1382), Ga at (0.0000, 0.0000, 0.2576) and Au at (0.0000, 0.0000, 0.4068).

First-principles (PBE-GGA) data for crystalline Hf2SbTe at its relaxed geometry, as listed in Alexandria via LeMat-Bulk.

The calculation puts the spin magnetization at 0.000 μB/f.u. The crystal system is trigonal. The formation energy from raw total energies comes out at -421 meV per atom. The calculated density comes out at 10.5 g cm⁻³. The energy above the most stable polymorph in this dataset comes out at 143 meV/atom.

The space group is R3m (No. 160, hexagonal axes) and the conventional cell measures 3.7814, 3.7814 and 23.2063 Å, with angles of 90.00, 90.00 and 120.00 degrees. The asymmetric unit holds Hf at (0.0000, 0.0000, 0.0000), Hf at (0.0000, 0.0000, 0.1668), Sb at (0.0000, 0.0000, 0.5834) and Te at (0.0000, 0.0000, 0.4167).

First-principles (PBE-GGA) data for crystalline RbY2Ta at its relaxed geometry, as listed in Alexandria via LeMat-Bulk.

Its formation energy is 142.7 kJ/mol of atoms. The calculation puts the spin magnetization at 1.559 μB/f.u. The crystal system is tetragonal. The calculated density comes out at 3.4 g cm⁻³. The energy above the most stable polymorph in this dataset comes out at 424 meV/atom.

The space group is I-42d (No. 122) and the conventional cell measures 8.417, 8.417 and 12.136 Å, with angles of 90.00, 90.00 and 90.00 degrees. The asymmetric unit holds Rb at (0.000, 0.000, 0.000), Y at (0.002, 0.250, 0.625) and Ta at (0.000, 0.000, 0.500).

First-principles (PBE-GGA) data for crystalline Pa6Bi3Os at its relaxed geometry, as listed in Alexandria via LeMat-Bulk.

Its formation energy is -7.9 kJ/mol of atoms. The calculation puts the spin magnetization at 0.000 μB/f.u. The crystal system is trigonal. The calculated density comes out at 13.6 g cm⁻³.

The space group is R-3m (No. 166, hexagonal axes) and the conventional cell measures 10.7726, 10.7726 and 16.0790 Å, with angles of 90.00, 90.00 and 120.00 degrees. The asymmetric unit holds Pa at (0.0799, 0.5400, 0.0851), Pa at (0.1069, 0.5534, 0.7741), Bi at (0.0886, 0.5443, 0.4016), Os at (0.0000, 0.0000, 0.0000) and Os at (0.0000, 0.0000, 0.5000).

First-principles (PBE-GGA) data for crystalline ScTe2Pb at its relaxed geometry, as listed in Alexandria via LeMat-Bulk.

The calculation puts the spin magnetization at 0.000 μB/f.u. The crystal system is tetragonal. The formation energy from raw total energies comes out at -488 meV per atom. The calculated density comes out at 5.2 g cm⁻³.

The space group is I-42d (No. 122) and the conventional cell measures 7.274, 7.274 and 12.364 Å, with angles of 90.00, 90.00 and 90.00 degrees. The asymmetric unit holds Sc at (0.000, 0.000, 0.000), Te at (0.205, 0.250, 0.125) and Pb at (0.000, 0.000, 0.500).

First-principles (PBE-GGA) data for crystalline La3Dy at its relaxed geometry, as listed in Alexandria via LeMat-Bulk.

Its formation energy is 1.9 kJ/mol of atoms. The calculation puts the spin magnetization at 0.000 μB/f.u. The crystal system is tetragonal. The calculated density comes out at 6.8 g cm⁻³. The energy above the most stable polymorph in this dataset comes out at 13 meV/atom.

The space group is I4/mmm (No. 139) and the conventional cell measures 5.208, 5.208 and 10.446 Å, with angles of 90.00, 90.00 and 90.00 degrees. The asymmetric unit holds La at (0.000, 0.000, 0.000), La at (0.000, 0.500, 0.250) and Dy at (0.000, 0.000, 0.500).